1.
The following is a DFT calculation (PBE-GGA) of a geometry-optimized Pr2ThTl structure.

Cell and atoms, written as CIF:
```
data_Pr2ThTl
_symmetry_space_group_name_H-M 'R 3 m'
_symmetry_Int_Tables_number 160
_symmetry_space_group_name_Hall 'R 3 -2"'
_cell_length_a 3.6642
_cell_length_b 3.6642
_cell_length_c 33.9827
_cell_angle_alpha 90.00
_cell_angle_beta 90.00
_cell_angle_gamma 120.00
loop_
_atom_site_label
_atom_site_type_symbol
_atom_site_fract_x
_atom_site_fract_y
_atom_site_fract_z
Pr1 Pr 0.0000 0.0000 0.0000
Pr2 Pr 0.0000 0.0000 0.1736
Th1 Th 0.0000 0.0000 0.4200
Tl1 Tl 0.0000 0.0000 0.5865
```

Results
**E above lowest polymorph**: 0.44 eV per formula unit
**Energy of formation**: -0.07 eV/atom

---

2.
The following is a DFT calculation (PBE-GGA) of a geometry-optimized Pr2ThTl9 structure.

Cell and atoms, written as CIF:
```
data_Pr2ThTl9
_symmetry_space_group_name_H-M 'P 4/m m m'
_symmetry_Int_Tables_number 123
_symmetry_space_group_name_Hall '-P 4 2'
_cell_length_a 4.8339
_cell_length_b 4.8339
_cell_length_c 14.5171
_cell_angle_alpha 90.00
_cell_angle_beta 90.00
_cell_angle_gamma 90.00
loop_
_atom_site_label
_atom_site_type_symbol
_atom_site_fract_x
_atom_site_fract_y
_atom_site_fract_z
Pr1 Pr 0.0000 0.0000 0.1678
Th1 Th 0.0000 0.0000 0.5000
Tl1 Tl 0.0000 0.5000 0.0000
Tl2 Tl 0.0000 0.5000 0.3331
Tl3 Tl 0.5000 0.5000 0.1656
Tl4 Tl 0.5000 0.5000 0.5000
```

Results
**Energy of formation**: -0.28 eV/atom

---

3.
The following is a DFT calculation (PBE-GGA) of a geometry-optimized Pr2ThTl structure.

Cell and atoms, written as CIF:
```
data_Pr2ThTl
_symmetry_space_group_name_H-M 'P 4/m m m'
_symmetry_Int_Tables_number 123
_symmetry_space_group_name_Hall '-P 4 2'
_cell_length_a 5.0387
_cell_length_b 5.0387
_cell_length_c 4.9253
_cell_angle_alpha 90.00
_cell_angle_beta 90.00
_cell_angle_gamma 90.00
loop_
_atom_site_label
_atom_site_type_symbol
_atom_site_fract_x
_atom_site_fract_y
_atom_site_fract_z
Pr1 Pr 0.0000 0.5000 0.0000
Th1 Th 0.0000 0.0000 0.5000
Tl1 Tl 0.5000 0.5000 0.5000
```

Results
**E above lowest polymorph**: 0.17 eV per formula unit
**Energy of formation**: -0.13 eV/atom

---

4.
The following is a DFT calculation (PBE-GGA) of a geometry-optimized Pr5ThTl structure.

Cell and atoms, written as CIF:
```
data_Pr5ThTl
_symmetry_space_group_name_H-M 'P 4/m m m'
_symmetry_Int_Tables_number 123
_symmetry_space_group_name_Hall '-P 4 2'
_cell_length_a 5.9039
_cell_length_b 5.9039
_cell_length_c 7.2651
_cell_angle_alpha 90.00
_cell_angle_beta 90.00
_cell_angle_gamma 90.00
loop_
_atom_site_label
_atom_site_type_symbol
_atom_site_fract_x
_atom_site_fract_y
_atom_site_fract_z
Pr1 Pr 0.0000 0.0000 0.0000
Pr2 Pr 0.0000 0.5000 0.2589
Th1 Th 0.5000 0.5000 0.5000
Tl1 Tl 0.5000 0.5000 0.0000
```

Results
**Energy of formation**: 0.29 eV/atom

---

5.
The following is a DFT calculation (PBE-GGA) of a geometry-optimized Pr2Th2Tl3 structure.

Cell and atoms, written as CIF:
```
data_Pr2Th2Tl3
_symmetry_space_group_name_H-M 'C m m m'
_symmetry_Int_Tables_number 65
_symmetry_space_group_name_Hall '-C 2 2'
_cell_length_a 3.5895
_cell_length_b 33.5423
_cell_length_c 3.5543
_cell_angle_alpha 90.00
_cell_angle_beta 90.00
_cell_angle_gamma 90.00
loop_
_atom_site_label
_atom_site_type_symbol
_atom_site_fract_x
_atom_site_fract_y
_atom_site_fract_z
Pr1 Pr 0.0000 0.0688 0.0000
Th1 Th 0.0000 0.2068 0.0000
Tl1 Tl 0.0000 0.3618 0.5000
Tl2 Tl 0.0000 0.5000 0.5000
```

Results
**Energy of formation**: -0.16 eV/atom

---

6.
The following is a DFT calculation (PBE-GGA) of a geometry-optimized PrTmTh2 structure.

Cell and atoms, written as CIF:
```
data_PrTmTh2
_symmetry_space_group_name_H-M 'P 4/m m m'
_symmetry_Int_Tables_number 123
_symmetry_space_group_name_Hall '-P 4 2'
_cell_length_a 3.5625
_cell_length_b 3.5625
_cell_length_c 10.2888
_cell_angle_alpha 90.00
_cell_angle_beta 90.00
_cell_angle_gamma 90.00
loop_
_atom_site_label
_atom_site_type_symbol
_atom_site_fract_x
_atom_site_fract_y
_atom_site_fract_z
Pr1 Pr 0.0000 0.0000 0.0000
Tm1 Tm 0.0000 0.0000 0.5000
Th1 Th 0.5000 0.5000 0.2575
```

Results
**E above lowest polymorph**: 0.19 eV per formula unit
**Energy of formation**: 0.08 eV/atom

---

7.
The following is a DFT calculation (PBE-GGA) of a geometry-optimized Pr2Tm8Th structure.

Cell and atoms, written as CIF:
```
data_Pr2Tm8Th
_symmetry_space_group_name_H-M 'C 1 2/m 1'
_symmetry_Int_Tables_number 12
_cell_length_a 18.0569
_cell_length_b 5.0170
_cell_length_c 7.9128
_cell_angle_alpha 90.00
_cell_angle_beta 105.18
_cell_angle_gamma 90.00
loop_
_symmetry_equiv_pos_as_xyz
'x,y,z'
'-x,-y,-z'
'-x,y,-z'
'x,-y,z'
'x+1/2,y+1/2,z'
'-x+1/2,-y+1/2,-z'
'-x+1/2,y+1/2,-z'
'x+1/2,-y+1/2,z'
loop_
_atom_site_label
_atom_site_type_symbol
_atom_site_fract_x
_atom_site_fract_y
_atom_site_fract_z
Pr1 Pr 0.2277 0.0000 0.1365
Tm1 Tm 0.0436 0.0000 0.2310
Tm2 Tm 0.0886 0.5000 0.9508
Tm3 Tm 0.1340 0.0000 0.6754
Tm4 Tm 0.1794 0.5000 0.4065
Th1 Th 0.0000 0.5000 0.5000
```

Results
**E above lowest polymorph**: 0.00 eV per formula unit
**Energy of formation**: 0.03 eV/atom

---

8.
The following is a DFT calculation (PBE-GGA) of a geometry-optimized Pr4Tm3Th2 structure.

Cell and atoms, written as CIF:
```
data_Pr4Tm3Th2
_symmetry_space_group_name_H-M 'C 1 2/c 1'
_symmetry_Int_Tables_number 15
_cell_length_a 16.2861
_cell_length_b 11.9382
_cell_length_c 6.2071
_cell_angle_alpha 90.00
_cell_angle_beta 97.82
_cell_angle_gamma 90.00
loop_
_symmetry_equiv_pos_as_xyz
'x,y,z'
'-x,-y,-z'
'-x,y,-z+1/2'
'x,-y,z+1/2'
'x+1/2,y+1/2,z'
'-x+1/2,-y+1/2,-z'
'-x+1/2,y+1/2,-z+1/2'
'x+1/2,-y+1/2,z+1/2'
loop_
_atom_site_label
_atom_site_type_symbol
_atom_site_fract_x
_atom_site_fract_y
_atom_site_fract_z
Pr1 Pr 0.0519 0.1379 0.0160
Pr2 Pr 0.2165 0.3686 0.8472
Tm1 Tm 0.0000 0.3926 0.7500
Tm2 Tm 0.1700 0.1138 0.5803
Th1 Th 0.1078 0.3619 0.3110
```

Results
**E above lowest polymorph**: 0.33 eV per formula unit
**Energy of formation**: 0.12 eV/atom

---

9.
The following is a DFT calculation (PBE-GGA) of a geometry-optimized Pr4Tm7Th structure.

Cell and atoms, written as CIF:
```
data_Pr4Tm7Th
_symmetry_space_group_name_H-M 'C 1 2/m 1'
_symmetry_Int_Tables_number 12
_cell_length_a 12.1672
_cell_length_b 5.9407
_cell_length_c 12.7765
_cell_angle_alpha 90.00
_cell_angle_beta 118.25
_cell_angle_gamma 90.00
loop_
_symmetry_equiv_pos_as_xyz
'x,y,z'
'-x,-y,-z'
'-x,y,-z'
'x,-y,z'
'x+1/2,y+1/2,z'
'-x+1/2,-y+1/2,-z'
'-x+1/2,y+1/2,-z'
'x+1/2,-y+1/2,z'
loop_
_atom_site_label
_atom_site_type_symbol
_atom_site_fract_x
_atom_site_fract_y
_atom_site_fract_z
Pr1 Pr 0.0592 0.0000 0.3356
Pr2 Pr 0.1392 0.5000 0.7779
Tm1 Tm 0.0000 0.0000 0.0000
Tm2 Tm 0.1370 0.5000 0.5054
Tm3 Tm 0.2103 0.0000 0.9236
Tm4 Tm 0.2459 0.5000 0.3136
Th1 Th 0.0000 0.5000 0.0000
```

Results
**E above lowest polymorph**: 3.19 eV per formula unit
**Energy of formation**: 0.29 eV/atom

---

10.
The following is a DFT calculation (PBE-GGA) of a geometry-optimized Pr4Tm6Th structure.

Cell and atoms, written as CIF:
```
data_Pr4Tm6Th
_symmetry_space_group_name_H-M 'C m c m'
_symmetry_Int_Tables_number 63
_symmetry_space_group_name_Hall '-C 2c 2'
_cell_length_a 5.7222
_cell_length_b 9.7178
_cell_length_c 25.8886
_cell_angle_alpha 90.00
_cell_angle_beta 90.00
_cell_angle_gamma 90.00
loop_
_atom_site_label
_atom_site_type_symbol
_atom_site_fract_x
_atom_site_fract_y
_atom_site_fract_z
Pr1 Pr 0.0000 0.0171 0.1240
Pr2 Pr 0.0000 0.3385 0.0443
Tm1 Tm 0.0000 0.0000 0.0000
Tm2 Tm 0.0000 0.0162 0.2500
Tm3 Tm 0.0000 0.3212 0.6033
Tm4 Tm 0.0000 0.3490 0.1846
Th1 Th 0.0000 0.3188 0.7500
```

Results
**Energy of formation**: 0.12 eV/atom

---

11.
The following is a DFT calculation (PBE-GGA) of a geometry-optimized Pr3Tm2Th structure.

Cell and atoms, written as CIF:
```
data_Pr3Tm2Th
_symmetry_space_group_name_H-M 'C m c 21'
_symmetry_Int_Tables_number 36
_cell_length_a 9.4887
_cell_length_b 13.0495
_cell_length_c 6.6546
_cell_angle_alpha 90.00
_cell_angle_beta 90.00
_cell_angle_gamma 90.00
loop_
_symmetry_equiv_pos_as_xyz
'x,y,z'
'-x,-y,z+1/2'
'-x,y,z'
'x,-y,z+1/2'
'x+1/2,y+1/2,z'
'-x+1/2,-y+1/2,z+1/2'
'-x+1/2,y+1/2,z'
'x+1/2,-y+1/2,z+1/2'
loop_
_atom_site_label
_atom_site_type_symbol
_atom_site_fract_x
_atom_site_fract_y
_atom_site_fract_z
Pr1 Pr 0.0000 0.0963 0.0000
Pr2 Pr 0.1828 0.3277 0.2329
Tm1 Tm 0.1787 0.4170 0.7446
Th1 Th 0.0000 0.1691 0.5138
```

Results
**E above lowest polymorph**: 1.23 eV per formula unit
**Energy of formation**: 0.25 eV/atom

---

12.
The following is a DFT calculation (PBE-GGA) of a geometry-optimized Pr4Tm5Th structure.

Cell and atoms, written as CIF:
```
data_Pr4Tm5Th
_symmetry_space_group_name_H-M 'P 4/m m m'
_symmetry_Int_Tables_number 123
_symmetry_space_group_name_Hall '-P 4 2'
_cell_length_a 3.6097
_cell_length_b 3.6097
_cell_length_c 25.0882
_cell_angle_alpha 90.00
_cell_angle_beta 90.00
_cell_angle_gamma 90.00
loop_
_atom_site_label
_atom_site_type_symbol
_atom_site_fract_x
_atom_site_fract_y
_atom_site_fract_z
Pr1 Pr 0.0000 0.0000 0.1005
Pr2 Pr 0.0000 0.0000 0.3022
Tm1 Tm 0.5000 0.5000 0.0000
Tm2 Tm 0.5000 0.5000 0.2014
Tm3 Tm 0.5000 0.5000 0.4049
Th1 Th 0.0000 0.0000 0.5000
```

Results
**Energy of formation**: 0.02 eV/atom

---

Which theoretical density belongs to each record? In order, 9.055, 11.520, 9.538, 7.482, 10.547, 9.842, 8.954, 8.525, 8.076, 8.348, 8.001, 8.333 Mg/m³.